Record 1
The following is a DFT calculation (SCAN) of a PBEsol-optimized structure of Be2Al2H.

Geometry as extended XYZ:
```
10
Lattice="4.7385 0.0000 0.0000 0.0000 4.7385 0.0000 0.0000 0.0000 5.5140" Properties=species:S:1:pos:R:3 pbc="T T T"
Be 0.0000 0.0000 1.1008
Be 0.0000 0.0000 4.4132
Be 2.3692 2.3692 1.6562
Be 2.3692 2.3692 3.8578
Al 0.0000 2.3692 1.3785
Al 0.0000 2.3692 4.1355
Al 2.3692 0.0000 1.3785
Al 2.3692 0.0000 4.1355
H 0.0000 0.0000 2.7570
H 2.3692 2.3692 0.0000
```

## Properties
Its density of states at the Fermi level is 0.414 states/eV per atom. Its space-group type is I4/mmm (139). For the energy above the most stable polymorph in this dataset, the calculation gives 62 meV/atom.

Record 2
The following is a DFT calculation (SCAN) of a PBEsol-optimized structure of ScInHg2.

Geometry as extended XYZ:
```
8
Lattice="4.3133 0.0000 0.0000 0.0000 4.3133 0.0000 0.0000 0.0000 9.2346" Properties=species:S:1:pos:R:3 pbc="T T T"
Sc 0.0000 0.0000 0.0000
Sc 2.1567 2.1567 4.6173
In 0.0000 2.1567 6.9260
In 2.1567 0.0000 2.3087
Hg 0.0000 0.0000 4.6173
Hg 0.0000 2.1567 2.3087
Hg 2.1567 0.0000 6.9260
Hg 2.1567 2.1567 0.0000
```

## Properties
Its density of states at the Fermi level is 0.660 states/eV per atom. The calculation puts the final energy at -46.270 eV per atom. Its space-group type is I-4m2 (119).

Record 3
The following is a DFT calculation (SCAN) of a PBEsol-optimized structure of NaNiBi2.

Geometry as extended XYZ:
```
16
Lattice="5.0355 0.0000 0.0000 0.0000 5.0355 0.0000 0.0000 0.0000 17.2503" Properties=species:S:1:pos:R:3 pbc="T T T"
Na 0.0000 0.0000 0.0000
Na 0.0000 2.5178 4.3126
Na 2.5178 0.0000 12.9377
Na 2.5178 2.5178 8.6252
Ni 0.0000 0.0000 8.6252
Ni 0.0000 2.5178 12.9377
Ni 2.5178 0.0000 4.3126
Ni 2.5178 2.5178 0.0000
Bi 0.8685 1.2589 10.7814
Bi 1.2589 3.3862 15.0940
Bi 1.2589 4.1671 6.4689
Bi 1.6493 1.2589 2.1563
Bi 3.3862 3.7767 2.1563
Bi 3.7767 0.8685 6.4689
Bi 3.7767 1.6493 15.0940
Bi 4.1671 3.7767 10.7814
```

## Properties
Its density of states at the Fermi level is 0.766 states/eV per atom. The calculation puts the final energy at -44.172 eV per atom. Its space-group type is I-42d (122).

Record 4
The following is a DFT calculation (SCAN) of a PBEsol-optimized structure of Y2Ag2As.

Geometry as extended XYZ:
```
10
Lattice="5.5799 0.0000 0.0000 0.0000 5.5799 0.0000 0.0000 0.0000 7.7249" Properties=species:S:1:pos:R:3 pbc="T T T"
Y 0.0000 2.7900 1.9312
Y 0.0000 2.7900 5.7937
Y 2.7900 0.0000 1.9312
Y 2.7900 0.0000 5.7937
Ag 0.0000 0.0000 1.2331
Ag 0.0000 0.0000 6.4918
Ag 2.7900 2.7900 2.6293
Ag 2.7900 2.7900 5.0956
As 0.0000 0.0000 3.8625
As 2.7900 2.7900 0.0000
```

## Properties
Its density of states at the Fermi level is 0.707 states/eV per atom. The calculation puts the final energy at -27.873 eV per atom. Its space-group type is I4/mmm (139).

Record 5
The following is a DFT calculation (SCAN) of a PBEsol-optimized structure of KSn2OsPb.

Geometry as extended XYZ:
```
5
Lattice="5.6101 0.0000 0.0000 0.0000 5.6101 0.0000 0.0000 0.0000 5.9797" Properties=species:S:1:pos:R:3 pbc="T T T"
K 0.0000 0.0000 0.0000
Sn 0.0000 2.8050 2.9898
Sn 2.8050 0.0000 2.9898
Os 2.8050 2.8050 0.0000
Pb 0.0000 0.0000 2.9898
```

## Properties
Its density of states at the Fermi level is 0.698 states/eV per atom. The calculation puts the final energy at -43.844 eV per atom. Its space-group type is P4/mmm (123).

Record 6
The following is a DFT calculation (SCAN) of a PBEsol-optimized structure of ScZn12.

Geometry as extended XYZ:
```
13
Lattice="-4.3271 4.3271 2.5094 4.3271 -4.3271 2.5094 4.3271 4.3271 -2.5094" Properties=species:S:1:pos:R:3 pbc="T T T"
Sc 0.0000 0.0000 0.0000
Zn 2.1635 2.1635 -1.2547
Zn 3.0423 0.0000 0.0000
Zn 2.1635 -2.1635 1.2547
Zn 5.6118 0.0000 0.0000
Zn 4.3271 2.4892 0.0000
Zn 0.0000 3.0423 0.0000
Zn -2.1635 2.1635 1.2547
Zn 2.4892 4.3271 0.0000
Zn 2.1635 2.1635 1.2547
Zn 1.8379 0.0000 2.5094
Zn 0.0000 5.6118 0.0000
Zn 0.0000 1.8379 2.5094
```

## Properties
Its density of states at the Fermi level is 0.175 states/eV per atom. The calculation puts the final energy at -13.758 eV per atom. Its space-group type is I4/mmm (139).

Record 7
The following is a DFT calculation (SCAN) of a PBEsol-optimized structure of AsSCl3.

Geometry as extended XYZ:
```
5
Lattice="4.9113 0.0000 0.0000 0.0000 4.9113 0.0000 0.0000 0.0000 4.9113" Properties=species:S:1:pos:R:3 pbc="T T T"
As 0.0000 0.0000 0.0000
S 2.4556 2.4556 2.4556
Cl 0.0000 0.0000 2.4556
Cl 0.0000 2.4556 0.0000
Cl 2.4556 0.0000 0.0000
```

## Properties
Its density of states at the Fermi level is 0.754 states/eV per atom. Its raw formation energy is 0.135 eV per atom. Its space-group type is Pm-3m (221).

Record 8
The following is a DFT calculation (SCAN) of a PBEsol-optimized structure of Y2ZrRu.

Geometry as extended XYZ:
```
4
Lattice="3.3343 0.0000 0.0000 0.0000 4.5191 0.0000 -1.5131 0.0000 5.8597" Properties=species:S:1:pos:R:3 pbc="T T T"
Y -0.0687 0.0000 1.5930
Y 1.8899 0.0000 4.2666
Zr 1.6672 2.2596 0.0000
Ru 0.9106 2.2596 2.9298
```

## Properties
Its density of states at the Fermi level is 0.852 states/eV per atom. Its space-group type is P2/m (10). For the energy above the most stable polymorph in this dataset, the calculation gives 329 meV/atom.

Record 9
The following is a DFT calculation (SCAN) of a PBEsol-optimized structure of TaTl2In.

Geometry as extended XYZ:
```
4
Lattice="3.1005 0.0000 0.0000 0.0000 5.0547 0.0000 -1.4621 0.0000 5.7190" Properties=species:S:1:pos:R:3 pbc="T T T"
Ta 0.0000 0.0000 0.0000
Tl 0.0299 2.5274 1.6480
Tl 1.5706 0.0000 2.8215
In 0.0975 2.5274 4.7562
```

## Properties
Its density of states at the Fermi level is 0.417 states/eV per atom. Its space-group type is Pm (6). For the energy above the most stable polymorph in this dataset, the calculation gives 0 meV/atom.

Record 10
The following is a DFT calculation (SCAN) of a PBEsol-optimized structure of Co2BC.

Geometry as extended XYZ:
```
16
Lattice="4.9281 0.0000 0.0000 0.0000 4.9281 0.0000 0.0000 0.0000 4.9281" Properties=species:S:1:pos:R:3 pbc="T T T"
Co 1.2320 1.2320 1.2320
Co 1.2320 1.2320 3.6961
Co 1.2320 3.6961 1.2320
Co 1.2320 3.6961 3.6961
Co 3.6961 1.2320 1.2320
Co 3.6961 1.2320 3.6961
Co 3.6961 3.6961 1.2320
Co 3.6961 3.6961 3.6961
B 0.0000 0.0000 0.0000
B 0.0000 2.4641 2.4641
B 2.4641 0.0000 2.4641
B 2.4641 2.4641 0.0000
C 0.0000 0.0000 2.4641
C 0.0000 2.4641 0.0000
C 2.4641 0.0000 0.0000
C 2.4641 2.4641 2.4641
```

## Properties
Its density of states at the Fermi level is 0.400 states/eV per atom. The calculation puts the final energy at -12.263 eV per atom. Its space-group type is Fm-3m (225).

Record 11
The following is a DFT calculation (SCAN) of a PBEsol-optimized structure of ZnCrCd2.

Geometry as extended XYZ:
```
4
Lattice="3.3434 0.0000 0.0000 0.0000 3.3434 0.0000 0.0000 0.0000 6.2528" Properties=species:S:1:pos:R:3 pbc="T T T"
Zn 0.0000 0.0000 0.0000
Cr 0.0000 0.0000 3.1264
Cd 1.6717 1.6717 1.5575
Cd 1.6717 1.6717 4.6953
```

## Properties
Its density of states at the Fermi level is 0.386 states/eV per atom. The calculation puts the final energy at -23.027 eV per atom. Its space-group type is P4/mmm (123).

Record 12
The following is a DFT calculation (SCAN) of a PBEsol-optimized structure of NiSnP2Cl.

Geometry as extended XYZ:
```
5
Lattice="4.2152 0.0000 0.0000 0.0000 4.2152 0.0000 0.0000 0.0000 5.6657" Properties=species:S:1:pos:R:3 pbc="T T T"
Ni 0.0000 0.0000 0.0000
Sn 2.1076 2.1076 2.8329
P 0.0000 2.1076 0.0000
P 2.1076 0.0000 0.0000
Cl 0.0000 0.0000 2.8329
```

## Properties
Its density of states at the Fermi level is 0.418 states/eV per atom. Its raw formation energy is 0.264 eV per atom. Its space-group type is P4/mmm (123). For the energy above the most stable polymorph in this dataset, the calculation gives 0 meV/atom.